Entry 1:
{
  "formula": "Be2NiRh2",
  "functional": "GGA-PBE",
  "state": "relaxed",
  "sg": "I4/mmm, No. 139",
  "cell": [[2.9290, 0.0000, 0.0000], [0.0000, 2.9290, 0.0000], [0.0000, 0.0000, 13.4163]],
  "species": ["Be", "Be", "Be", "Be", "Ni", "Ni", "Rh", "Rh", "Rh", "Rh"],
  "frac_coords": [[0.0000, 0.5000, 0.2500], [0.0000, 0.5000, 0.7500], [0.5000, 0.0000, 0.2500], [0.5000, 0.0000, 0.7500], [0.0000, 0.0000, 0.0000], [0.5000, 0.5000, 0.5000], [0.0000, 0.0000, 0.3823], [0.0000, 0.0000, 0.6177], [0.5000, 0.5000, 0.1177], [0.5000, 0.5000, 0.8823]]
}

***

Entry 2:
{
  "formula": "BeNiRh",
  "functional": "GGA-PBE",
  "state": "relaxed",
  "sg": "P3m1, No. 156",
  "cell": [[3.8504, 0.0000, 0.0000], [-1.9252, 3.3345, 0.0000], [0.0000, 0.0000, 2.6355]],
  "species": ["Be", "Ni", "Rh"],
  "frac_coords": [[0.0000, 0.0000, 0.0000], [0.6667, 0.3333, 0.0391], [0.3333, 0.6667, 0.5326]]
}

***

Entry 3:
{
  "formula": "Be4NiRh",
  "functional": "GGA-PBE",
  "state": "relaxed",
  "sg": "F-43m, No. 216",
  "cell": [[0.0000, 3.0125, 3.0125], [3.0125, 0.0000, 3.0125], [3.0125, 3.0125, 0.0000]],
  "species": ["Be", "Be", "Be", "Be", "Ni", "Rh"],
  "frac_coords": [[0.1253, 0.1253, 0.1253], [0.1253, 0.1253, 0.6242], [0.1253, 0.6242, 0.1253], [0.6242, 0.1253, 0.1253], [0.5000, 0.5000, 0.5000], [0.7500, 0.7500, 0.7500]]
}

***

Entry 4:
{
  "formula": "Be3NiRh2",
  "functional": "GGA-PBE",
  "state": "relaxed",
  "sg": "Cmmm, No. 65",
  "cell": [[3.8263, 0.0000, 0.0000], [0.0000, 11.5244, 0.0000], [0.0000, 0.0000, 2.7916]],
  "species": ["Be", "Be", "Be", "Be", "Be", "Be", "Ni", "Ni", "Rh", "Rh", "Rh", "Rh"],
  "frac_coords": [[0.0000, 0.0000, 0.0000], [0.0000, 0.3341, 0.0000], [0.0000, 0.6659, 0.0000], [0.5000, 0.1659, 0.0000], [0.5000, 0.5000, 0.0000], [0.5000, 0.8341, 0.0000], [0.0000, 0.5000, 0.5000], [0.5000, 0.0000, 0.5000], [0.0000, 0.1610, 0.5000], [0.0000, 0.8390, 0.5000], [0.5000, 0.3390, 0.5000], [0.5000, 0.6610, 0.5000]]
}

***

Entry 5:
{
  "formula": "BeNiRh",
  "functional": "GGA-PBE",
  "state": "relaxed",
  "sg": "F-43m, No. 216",
  "cell": [[5.4838, 0.0000, 0.0000], [0.0000, 5.4838, 0.0000], [0.0000, 0.0000, 5.4838]],
  "species": ["Be", "Be", "Be", "Be", "Ni", "Ni", "Ni", "Ni", "Rh", "Rh", "Rh", "Rh"],
  "frac_coords": [[0.0000, 0.0000, 0.0000], [0.0000, 0.5000, 0.5000], [0.5000, 0.0000, 0.5000], [0.5000, 0.5000, 0.0000], [0.0000, 0.0000, 0.5000], [0.0000, 0.5000, 0.0000], [0.5000, 0.0000, 0.0000], [0.5000, 0.5000, 0.5000], [0.2500, 0.2500, 0.7500], [0.2500, 0.7500, 0.2500], [0.7500, 0.2500, 0.2500], [0.7500, 0.7500, 0.7500]]
}

***

Entry 6:
{
  "formula": "Be2NiRh",
  "functional": "GGA-PBE",
  "state": "relaxed",
  "sg": "Fm-3m, No. 225",
  "cell": [[5.4072, 0.0000, 0.0000], [0.0000, 5.4072, 0.0000], [0.0000, 0.0000, 5.4072]],
  "species": ["Be", "Be", "Be", "Be", "Be", "Be", "Be", "Be", "Ni", "Ni", "Ni", "Ni", "Rh", "Rh", "Rh", "Rh"],
  "frac_coords": [[0.2500, 0.2500, 0.2500], [0.2500, 0.2500, 0.7500], [0.2500, 0.7500, 0.2500], [0.2500, 0.7500, 0.7500], [0.7500, 0.2500, 0.2500], [0.7500, 0.2500, 0.7500], [0.7500, 0.7500, 0.2500], [0.7500, 0.7500, 0.7500], [0.0000, 0.0000, 0.0000], [0.0000, 0.5000, 0.5000], [0.5000, 0.0000, 0.5000], [0.5000, 0.5000, 0.0000], [0.0000, 0.0000, 0.5000], [0.0000, 0.5000, 0.0000], [0.5000, 0.0000, 0.0000], [0.5000, 0.5000, 0.5000]]
}

***

Entry 7:
{
  "formula": "Be15Ni2Rh2",
  "functional": "GGA-PBE",
  "state": "relaxed",
  "sg": "R-3m, No. 166",
  "cell": [[3.6288, 2.0951, 3.6099], [-3.6288, 2.0951, 3.6099], [0.0000, -4.1902, 3.6099]],
  "species": ["Be", "Be", "Be", "Be", "Be", "Be", "Be", "Be", "Be", "Be", "Be", "Be", "Be", "Be", "Be", "Ni", "Ni", "Rh", "Rh"],
  "frac_coords": [[0.0000, 0.0000, 0.5000], [0.0000, 0.3050, 0.6950], [0.0000, 0.5000, 0.0000], [0.0000, 0.6950, 0.3050], [0.1626, 0.6522, 0.6522], [0.3050, 0.0000, 0.6950], [0.3050, 0.6950, 0.0000], [0.3478, 0.3478, 0.8374], [0.3478, 0.8374, 0.3478], [0.5000, 0.0000, 0.0000], [0.6522, 0.1626, 0.6522], [0.6522, 0.6522, 0.1626], [0.6950, 0.0000, 0.3050], [0.6950, 0.3050, 0.0000], [0.8374, 0.3478, 0.3478], [0.1032, 0.1032, 0.1032], [0.8968, 0.8968, 0.8968], [0.3499, 0.3499, 0.3499], [0.6501, 0.6501, 0.6501]]
}

***

Entry 8:
{
  "formula": "Be3NiRh2",
  "functional": "GGA-PBE",
  "state": "relaxed",
  "sg": "P4/mmm, No. 123",
  "cell": [[2.7581, 0.0000, 0.0000], [0.0000, 2.7581, 0.0000], [0.0000, 0.0000, 8.1110]],
  "species": ["Be", "Be", "Be", "Ni", "Rh", "Rh"],
  "frac_coords": [[0.0000, 0.0000, 0.0000], [0.0000, 0.0000, 0.3398], [0.0000, 0.0000, 0.6602], [0.5000, 0.5000, 0.5000], [0.5000, 0.5000, 0.1745], [0.5000, 0.5000, 0.8255]]
}

***

| no. | DOS(E_F) (states/eV/atom) | spin magnetization (μB/f.u.) | energy of formation (eV/atom) |
| --- | --- | --- | --- |
| 1 | 0.88 | 1.06 | -0.06 |
| 2 | 1.52 | 1.01 | -0.15 |
| 3 | 0.27 | 0.00 | -0.42 |
| 4 | 0.41 | 0.00 | -0.60 |
| 5 | 0.95 | 1.11 | 0.31 |
| 6 | 0.34 | 0.00 | -0.60 |
| 7 | 0.31 | 0.00 | -0.28 |
| 8 | 0.58 | 0.00 | -0.57 |